Entry from the Alexandria database: a relaxed structure of Er4MgAl (PBE).

a b c (Å): 8.921 8.921 8.921
angles (deg): 32.88 32.88 32.88
Fractional coordinates of all 6 atoms:
Er 0.120 0.120 0.120
Er 0.372 0.372 0.372
Er 0.628 0.628 0.628
Er 0.880 0.880 0.880
Mg 0.500 0.500 0.500
Al 0.000 0.000 0.000

## Properties
The calculation puts the total energy at -0.2733 Ry/atom. The value obtained for the density of states at the Fermi level is 8.6 states/eV per cell. The calculation puts the total magnetization at 0.000 μB per cell. Its formation energy is 0.213 eV/atom. The space group is R-3m, No. 166.



Entry from the Alexandria database: a relaxed structure of Er3MgAl (PBE).

a b c (Å): 10.358 10.358 5.077
angles (deg): 90.00 90.00 151.61
Fractional coordinates of all 10 atoms:
Er 0.062 0.938 0.750
Er 0.250 0.750 0.750
Er 0.437 0.563 0.750
Er 0.563 0.437 0.250
Er 0.750 0.250 0.250
Er 0.938 0.062 0.250
Mg 0.157 0.843 0.250
Mg 0.843 0.157 0.750
Al 0.341 0.659 0.250
Al 0.659 0.341 0.750

## Properties
The calculation puts the total energy at -0.2940 Ry/atom. The value obtained for the density of states at the Fermi level is 9.4 states/eV per cell. The calculation puts the total magnetization at 0.000 μB per cell. Its formation energy is -0.195 eV/atom. The space group is Cmcm, No. 63. The offset from the most stable computed form comes out at 0.000 eV/f.u.



Entry from the Alexandria database: a relaxed structure of Er4Mg3Al (PBE).

a b c (Å): 3.392 4.961 12.399
angles (deg): 90.00 90.00 90.00
Fractional coordinates of all 8 atoms:
Er 0.000 0.000 0.000
Er 0.000 0.500 0.329
Er 0.500 0.000 0.484
Er 0.500 0.500 0.840
Mg 0.000 0.000 0.729
Mg 0.000 0.500 0.596
Mg 0.500 0.500 0.102
Al 0.500 0.000 0.231

## Properties
The calculation puts the total energy at -0.2528 Ry/atom. The value obtained for the density of states at the Fermi level is 7.1 states/eV per cell. The calculation puts the total magnetization at 0.000 μB per cell. Its formation energy is -0.092 eV/atom. The space group is Pmm2, No. 25. The offset from the most stable computed form comes out at 0.568 eV/f.u.



Entry from the Alexandria database: a relaxed structure of Er5Mg4Al4 (PBE).

a b c (Å): 8.676 8.676 8.676
angles (deg): 93.87 93.87 149.90
Fractional coordinates of all 13 atoms:
Er 0.000 0.000 0.000
Er 0.305 0.378 0.683
Er 0.378 0.695 0.074
Er 0.622 0.305 0.926
Er 0.695 0.622 0.317
Mg 0.108 0.587 0.695
Mg 0.413 0.108 0.521
Mg 0.587 0.892 0.479
Mg 0.892 0.413 0.305
Al 0.068 0.248 0.316
Al 0.248 0.932 0.181
Al 0.752 0.068 0.819
Al 0.932 0.752 0.684

## Properties
The calculation puts the total energy at -0.2669 Ry/atom. The value obtained for the density of states at the Fermi level is 8.8 states/eV per cell. The calculation puts the total magnetization at 0.000 μB per cell. Its formation energy is -0.234 eV/atom. The space group is I4/m, No. 87.



Entry from the Alexandria database: a relaxed structure of Er2MgAl (PBE).

a b c (Å): 5.151 5.151 5.151
angles (deg): 60.00 60.00 60.00
Fractional coordinates of all 4 atoms:
Er 0.250 0.250 0.250
Er 0.750 0.750 0.750
Mg 0.000 0.000 0.000
Al 0.500 0.500 0.500

## Properties
The calculation puts the total energy at -0.2853 Ry/atom. The value obtained for the density of states at the Fermi level is 2.2 states/eV per cell. The calculation puts the total magnetization at 0.000 μB per cell. Its formation energy is -0.265 eV/atom. The space group is Fm-3m, No. 225. The offset from the most stable computed form comes out at 0.000 eV/f.u.



Entry from the Alexandria database: a relaxed structure of Er5MgAl4 (PBE).

a b c (Å): 3.589 3.589 18.178
angles (deg): 90.00 90.00 90.00
Fractional coordinates of all 10 atoms:
Er 0.000 0.000 0.000
Er 0.000 0.000 0.194
Er 0.000 0.000 0.390
Er 0.000 0.000 0.610
Er 0.000 0.000 0.806
Mg 0.500 0.500 0.500
Al 0.500 0.500 0.097
Al 0.500 0.500 0.294
Al 0.500 0.500 0.706
Al 0.500 0.500 0.903

## Properties
The calculation puts the total energy at -0.3140 Ry/atom. The value obtained for the density of states at the Fermi level is 5.3 states/eV per cell. The calculation puts the total magnetization at 0.000 μB per cell. Its formation energy is -0.334 eV/atom. The space group is P4/mmm, No. 123.



Entry from the Alexandria database: a relaxed structure of Er3Mg2Al (PBE).

a b c (Å): 3.639 3.639 11.484
angles (deg): 90.00 90.00 90.00
Fractional coordinates of all 6 atoms:
Er 0.000 0.000 0.000
Er 0.000 0.000 0.347
Er 0.000 0.000 0.653
Mg 0.500 0.500 0.172
Mg 0.500 0.500 0.828
Al 0.500 0.500 0.500

## Properties
The calculation puts the total energy at -0.2661 Ry/atom. The value obtained for the density of states at the Fermi level is 6.0 states/eV per cell. The calculation puts the total magnetization at 0.117 μB per cell. Its formation energy is -0.184 eV/atom. The space group is P4/mmm, No. 123.



Entry from the Alexandria database: a relaxed structure of Er6Mg2Al (PBE).

a b c (Å): 8.685 8.685 8.685
angles (deg): 113.19 109.23 106.07
Fractional coordinates of all 18 atoms:
Er 0.066 0.245 0.822
Er 0.246 0.573 0.326
Er 0.246 0.920 0.674
Er 0.308 0.238 0.546
Er 0.308 0.762 0.070
Er 0.423 0.245 0.178
Er 0.577 0.755 0.822
Er 0.692 0.238 0.930
Er 0.692 0.762 0.454
Er 0.754 0.080 0.326
Er 0.754 0.427 0.674
Er 0.934 0.755 0.178
Mg 0.000 0.143 0.143
Mg 0.000 0.857 0.857
Mg 0.136 0.500 0.636
Mg 0.864 0.500 0.364
Al 0.500 0.000 0.500
Al 0.500 0.500 0.000

## Properties
The calculation puts the total energy at -0.2825 Ry/atom. The value obtained for the density of states at the Fermi level is 18.3 states/eV per cell. The calculation puts the total magnetization at 0.000 μB per cell. Its formation energy is -0.031 eV/atom. The space group is Immm, No. 71.